[1]
Computed, not measured: a relaxed structure of Ta2GeIr2Pb at the PBE level of DFT.

Lattice parameters (Å, degrees): 10.687 4.353 10.739 90.00 109.51 90.00
Sites, in units of the cell vectors:
Ta 0.372 0.500 0.372
Ta 0.129 0.500 0.617
Ta 0.251 0.000 0.010
Ta 0.621 0.500 0.125
Ta 0.503 0.000 0.750
Ta 0.003 0.000 0.250
Ta 0.745 0.000 0.495
Ta 0.879 0.500 0.885
Ir 0.253 0.000 0.735
Ir 0.492 0.000 0.490
Ir 0.636 0.500 0.886
Ir 0.875 0.500 0.623
Ir 0.131 0.500 0.372
Ir 0.738 0.000 0.240
Ir 0.371 0.500 0.131
Ir 0.003 0.000 0.013
Pb 0.874 0.500 0.371
Pb 0.005 0.000 0.755
Pb 0.374 0.500 0.877
Pb 0.624 0.500 0.627
Ge 0.251 0.000 0.495
Ge 0.751 0.000 0.004
Ge 0.497 0.000 0.249
Ge 0.125 0.500 0.127

## Properties
Symmetry ... No. 6


[2]
Computed, not measured: a relaxed structure of GeIr2Pd at the PBE level of DFT.

Lattice parameters (Å, degrees): 4.409 4.409 4.409 60.00 60.00 60.00
Site moments in Bohr magnetons follow the coordinates.
Sites, in units of the cell vectors:
Ge 0.500 0.500 0.500  0.00
Pd 0.250 0.250 0.250  0.01
Ir 0.000 0.000 0.000  0.10
Ir 0.750 0.750 0.750  0.10

## Properties
Symmetry ... No. 216


[3]
Computed, not measured: a relaxed structure of Ge4IrPd3 at the PBE level of DFT.

Lattice parameters (Å, degrees): 5.814 3.533 6.358 90.00 90.20 90.00
Sites, in units of the cell vectors:
Pd 0.000 0.500 0.695
Pd 0.994 0.000 0.311
Pd 0.502 0.500 0.803
Ge 0.811 0.000 0.929
Ge 0.316 0.000 0.570
Ge 0.679 0.500 0.420
Ge 0.199 0.500 0.081
Ir 0.498 0.000 0.190

## Properties
Symmetry ... No. 6


[4]
Computed, not measured: a relaxed structure of Pr3Ge4Ir2Pd2 at the PBE level of DFT.

Lattice parameters (Å, degrees): 13.079 13.079 13.079 161.79 160.96 26.47
Sites, in units of the cell vectors:
Ge 0.951 0.951 0.000
Ge 0.304 0.804 0.500
Ge 0.696 0.196 0.500
Ge 0.049 0.049 0.000
Pr 0.148 0.648 0.500
Pr 0.500 0.500 0.000
Pr 0.852 0.352 0.500
Ir 0.250 0.250 0.000
Ir 0.750 0.750 0.000
Pd 0.402 0.902 0.500
Pd 0.598 0.098 0.500

## Properties
Symmetry ... No. 71


[5]
Computed, not measured: a relaxed structure of SrGe2IrPd at the PBE level of DFT.

Lattice parameters (Å, degrees): 4.482 4.482 9.871 90.00 90.00 90.00
Sites, in units of the cell vectors:
Ir 0.500 0.000 0.623
Ir 0.000 0.500 0.377
Pd 0.000 0.000 0.000
Pd 0.500 0.500 0.000
Ge 0.000 0.000 0.500
Ge 0.500 0.500 0.500
Ge 0.500 0.000 0.872
Ge 0.000 0.500 0.128
Sr 0.000 0.500 0.749
Sr 0.500 0.000 0.251

## Properties
Symmetry ... No. 129


[6]
Computed, not measured: a relaxed structure of SrGe2IrPd at the PBE level of DFT.

Lattice parameters (Å, degrees): 6.154 6.154 6.154 138.87 138.87 59.57
Sites, in units of the cell vectors:
Sr 0.000 0.000 0.000
Ge 0.629 0.629 0.000
Ge 0.371 0.371 0.000
Ir 0.250 0.750 0.500
Pd 0.750 0.250 0.500

## Properties
Symmetry ... No. 119


| no. | uncorrected energy (eV/atom) |
| --- | --- |
| 1 | -8.62 |
| 2 | -6.69 |
| 3 | -5.80 |
| 4 | -6.41 |
| 5 | -5.65 |
| 6 | -5.63 |